Record 1
Ac2Ga4NiPd3: relaxed, GGA-PBE.

The structure belongs to space group P-4m2 (No. 115); the cell edges are 4.5050, 4.5050 and 10.0965 Å and the angles 90.00°, 90.00° and 90.00°. The distinct sites, in fractional coordinates, are Ac at (0.0000, 0.5000, 0.2441), Ga at (0.0000, 0.0000, 0.5000), Ga at (0.0000, 0.5000, 0.8891), Ga at (0.5000, 0.5000, 0.5000), Ni at (0.5000, 0.5000, 0.0000), Pd at (0.0000, 0.0000, 0.0000) and Pd at (0.0000, 0.5000, 0.6316).

The value obtained for the density of states at the Fermi level is 8.48 states/eV/f.u. The value obtained for the total energy is -4.897 eV per atom. The formation enthalpy at 0 K is -0.7283 eV per atom.

***

Record 2
AcGe2Pd6: relaxed, GGA-PBE.

The structure belongs to space group P6/mmm (No. 191); the cell edges are 5.6945, 5.6945 and 6.5633 Å and the angles 90.00°, 90.00° and 120.00°. The distinct sites, in fractional coordinates, are Ac at (0.0000, 0.0000, 0.0000), Ge at (0.3333, 0.6667, 0.5000) and Pd at (0.0000, 0.5000, 0.2139).

The value obtained for the density of states at the Fermi level is 3.01 states/eV/f.u. The value obtained for the total energy is -5.480 eV per atom. The formation enthalpy at 0 K is -0.5358 eV per atom.

***

Record 3
AsRuN3: relaxed, GGA-PBE.

The structure belongs to space group Pm-3m (No. 221); the cell edges are 3.8736, 3.8736 and 3.8736 Å and the angles 90.00°, 90.00° and 90.00°. The distinct sites, in fractional coordinates, are As at (0.0000, 0.0000, 0.0000), Ru at (0.5000, 0.5000, 0.5000) and N at (0.0000, 0.5000, 0.5000).

The value obtained for the density of states at the Fermi level is 4.13 states/eV/f.u. The value obtained for the total energy is -6.306 eV per atom.

***

Record 4
Ba2CoCu: relaxed, GGA-PBE.

The structure belongs to space group I-42d (No. 122); the cell edges are 8.3044, 8.3044 and 7.3205 Å and the angles 90.00°, 90.00° and 90.00°. The distinct sites, in fractional coordinates, are Ba at (0.2250, 0.2500, 0.1250), Co at (0.0000, 0.0000, 0.0000) and Cu at (0.0000, 0.0000, 0.5000).

The value obtained for the density of states at the Fermi level is 3.52 states/eV/f.u. The value obtained for the total energy is -3.138 eV per atom. The energy above the lowest structure with this stoichiometry is 389 meV per atom. The formation enthalpy at 0 K is 0.6240 eV per atom.